[1]
# KIr

A relaxed KIr crystal (PBE-GGA, Alexandria).

**Energy relative to the elements**: 389.8 meV per atom
**Excess energy over the best structure of this formula in the dataset**: 24 meV per atom
**Space-group type**: Pmmn (59)
**Final energy**: -4.59 eV per atom
**Volume**: 117 Å³/cell

Cell: 2.8320 4.1771 9.9112 Å, 90.00 90.00 90.00°
Positions (direct):
K: 0.2500 0.2500 0.2196
K: 0.7500 0.7500 0.7804
Ir: 0.2500 0.7500 0.4690
Ir: 0.7500 0.2500 0.5310

[2]
# BaCd8SnAu2

A relaxed BaCd8SnAu2 crystal (PBE-GGA, Alexandria).

**Energy relative to the elements**: -93.9 meV per atom
**Space-group type**: C2/m (12)
**Final energy**: -1.74 eV per atom
**Volume**: 311 Å³/cell

Cell: 5.3043 5.3043 11.7212 Å, 90.74 90.74 70.34°
Positions (direct):
Ba: 0.0000 0.0000 0.0000
Cd: 0.1668 0.6699 0.7141
Cd: 0.3301 0.8332 0.2859
Cd: 0.3467 0.3467 0.4390
Cd: 0.3597 0.3597 0.9205
Cd: 0.6403 0.6403 0.0795
Cd: 0.6533 0.6533 0.5610
Cd: 0.6699 0.1668 0.7141
Cd: 0.8332 0.3301 0.2859
Sn: 0.0000 0.0000 0.5000
Au: 0.3207 0.3207 0.1676
Au: 0.6793 0.6793 0.8324

Number 1: magnetization 0.0 μB/f.u.. Number 2: magnetization 0.0 μB/f.u..